Entry 1:
! La2Pm6Ho3 (PBE, optimized geometry); values from VASP
! Energy above the most stable polymorph in this dataset (meV per atom): 282.2
! Calculated density (kg/m3): 6798
&SYSTEM
  ibrav = 0, nat = 11, ntyp = 3
/
ATOMIC_SPECIES
La 138.91 La.upf
Pm 145.00 Pm.upf
Ho 164.93 Ho.upf
CELL_PARAMETERS angstrom
5.686 0.000 0.000
0.000 5.686 0.000
-2.843 -2.843 12.413
ATOMIC_POSITIONS crystal
La 0.559 0.559 0.117
La 0.441 0.441 0.883
Pm 0.904 0.404 0.807
Pm 0.699 0.699 0.399
Pm 0.596 0.096 0.193
Pm 0.096 0.596 0.193
Pm 0.404 0.904 0.807
Pm 0.301 0.301 0.601
Ho 0.837 0.837 0.674
Ho 0.163 0.163 0.326
Ho 0.000 0.000 0.000


Entry 2:
! Pm6Ag2Hg (PBE, optimized geometry); values from VASP
! Energy above the most stable polymorph in this dataset (meV per atom): 0.0
! Calculated density (kg/m3): 8032
&SYSTEM
  ibrav = 0, nat = 9, ntyp = 3
/
ATOMIC_SPECIES
Pm 145.00 Pm.upf
Ag 107.87 Ag.upf
Hg 200.59 Hg.upf
CELL_PARAMETERS angstrom
-3.365 3.807 -1.288
-2.747 -0.964 -6.335
-7.564 -2.222 2.530
ATOMIC_POSITIONS crystal
Pm 0.020 0.796 0.165
Pm 0.980 0.204 0.835
Pm 0.684 0.796 0.835
Pm 0.316 0.204 0.165
Pm 0.347 0.806 0.500
Pm 0.653 0.194 0.500
Ag 0.335 0.500 0.829
Ag 0.665 0.500 0.171
Hg 0.000 0.500 0.500


Entry 3:
! Ac3Zn4Hg4 (PBE, optimized geometry); values from VASP
! Energy above the most stable polymorph in this dataset (meV per atom): 0.0
! Calculated density (kg/m3): 9978
&SYSTEM
  ibrav = 0, nat = 11, ntyp = 3
/
ATOMIC_SPECIES
Hg 200.59 Hg.upf
Zn 65.41 Zn.upf
Ac 227.00 Ac.upf
CELL_PARAMETERS angstrom
4.247 0.003 0.005
0.004 4.832 -0.059
2.122 2.221 14.126
ATOMIC_POSITIONS crystal
Hg 0.694 0.158 0.612
Hg 0.554 0.548 0.894
Hg 0.446 0.452 0.106
Hg 0.307 0.842 0.388
Zn 0.598 0.087 0.805
Zn 0.254 0.293 0.492
Zn 0.402 0.913 0.195
Zn 0.746 0.707 0.508
Ac 0.149 0.636 0.699
Ac 0.000 0.000 0.000
Ac 0.851 0.364 0.301


Entry 4:
! MgGaSi (PBE, optimized geometry); values from VASP
! Formation energy without anion corrections (eV/atom): 0.0244
! Calculated density (kg/m3): 3311
&SYSTEM
  ibrav = 0, nat = 6, ntyp = 3
/
ATOMIC_SPECIES
Mg 24.30 Mg.upf
Ga 69.72 Ga.upf
Si 28.09 Si.upf
CELL_PARAMETERS angstrom
-3.414 -2.621 2.407
-0.439 -2.408 -3.246
6.735 -1.875 0.480
ATOMIC_POSITIONS crystal
Mg 0.394 0.000 0.840
Mg 0.394 0.500 0.340
Ga 0.949 0.500 0.860
Ga 0.949 0.000 0.360
Si 0.745 0.000 0.624
Si 0.745 0.500 0.124


Entry 5:
! Ac2CeSe3F3 (PBE, optimized geometry); values from VASP
! Formation energy without anion corrections (eV/atom): -2.4372
! Calculated density (kg/m3): 6672
&SYSTEM
  ibrav = 0, nat = 9, ntyp = 4
/
ATOMIC_SPECIES
Se 78.96 Se.upf
Ce 140.12 Ce.upf
Ac 227.00 Ac.upf
F 19.00 F.upf
CELL_PARAMETERS angstrom
-3.350 0.848 2.236
4.151 -1.032 6.611
-0.410 7.128 -3.319
ATOMIC_POSITIONS crystal
Se 0.500 0.000 0.741
Se 0.500 0.259 0.259
Se 0.500 0.741 0.000
Ce 0.000 0.000 0.000
Ac 0.500 0.667 0.333
Ac 0.500 0.333 0.667
F 0.000 0.000 0.427
F 0.000 0.427 0.000
F 0.000 0.573 0.573


Entry 6:
! Li12SnHg6 (PBE, optimized geometry); values from VASP
! Calculated total energy (eV for the cell shown): -34.25
! Calculated density (kg/m3): 6339
&SYSTEM
  ibrav = 0, nat = 19, ntyp = 3
/
ATOMIC_SPECIES
Hg 200.59 Hg.upf
Li 6.94 Li.upf
Sn 118.71 Sn.upf
CELL_PARAMETERS angstrom
-5.678 0.529 -4.344
-4.022 -2.965 5.140
-1.213 6.559 2.628
ATOMIC_POSITIONS crystal
Hg 0.704 0.290 0.124
Hg 0.296 0.710 0.876
Hg 0.710 0.876 0.296
Hg 0.124 0.704 0.290
Hg 0.290 0.124 0.704
Hg 0.876 0.296 0.710
Li 0.198 0.470 0.571
Li 0.371 0.025 0.151
Li 0.849 0.629 0.975
Li 0.151 0.371 0.025
Li 0.025 0.151 0.371
Li 0.802 0.530 0.429
Li 0.975 0.849 0.629
Li 0.470 0.571 0.198
Li 0.429 0.802 0.530
Li 0.629 0.975 0.849
Li 0.530 0.429 0.802
Li 0.571 0.198 0.470
Sn 0.000 0.000 0.000


Entry 7:
! LiPr2Sn4Pt3 (PBE, optimized geometry); values from VASP
! Calculated total energy (eV for the cell shown): -53.72
! Calculated density (kg/m3): 9826
&SYSTEM
  ibrav = 0, nat = 10, ntyp = 4
/
ATOMIC_SPECIES
Pt 195.08 Pt.upf
Sn 118.71 Sn.upf
Li 6.94 Li.upf
Pr 140.91 Pr.upf
CELL_PARAMETERS angstrom
-1.425 -3.750 2.161
4.328 -1.218 0.740
-0.075 5.503 9.500
ATOMIC_POSITIONS crystal
Pt 0.000 0.500 0.131
Pt 0.500 0.000 0.869
Pt 0.000 0.000 0.500
Sn 0.500 0.000 0.630
Sn 0.500 0.500 0.000
Sn 0.000 0.000 0.000
Sn 0.000 0.500 0.370
Li 0.500 0.500 0.500
Pr 0.000 0.500 0.743
Pr 0.500 0.000 0.257


Entry 8:
! CuGeCl2 (PBE, optimized geometry); values from VASP
! Formation energy without anion corrections (eV/atom): -0.0533
! Energy above the most stable polymorph in this dataset (meV per atom): 0.0
! Calculated density (kg/m3): 3689
&SYSTEM
  ibrav = 0, nat = 8, ntyp = 3
/
ATOMIC_SPECIES
Cl 35.45 Cl.upf
Cu 63.55 Cu.upf
Ge 72.64 Ge.upf
CELL_PARAMETERS angstrom
6.610 0.000 0.000
0.000 6.610 0.000
3.305 3.305 4.267
ATOMIC_POSITIONS crystal
Cl 0.375 0.434 0.750
Cl 0.184 0.625 0.250
Cl 0.875 0.816 0.750
Cl 0.566 0.125 0.250
Cu 0.500 0.500 0.000
Cu 0.250 0.750 0.500
Ge 0.000 0.000 0.000
Ge 0.750 0.250 0.500


no.,spin magnetization (μB per atom),volume (Å³/atom)
1,0.00,36.48
2,0.20,29.55
3,0.00,26.40
4,0.00,20.42
5,0.09,24.56
6,0.00,19.38
7,0.00,22.80
8,0.25,23.30